# Be2PdF PBE-GGA relaxed
# crystal system	cubic
# ΔE_f (raw)	-0.18	eV/atom
# energy above the lowest structure with this stoichiometry	0.582	eV per atom
# DOS at the Fermi energy	7.58	states/eV/cell
data_Be2PdF
_cell_length_a 5.642
_cell_length_b 5.642
_cell_length_c 5.642
_cell_angle_alpha 90.00
_cell_angle_beta 90.00
_cell_angle_gamma 90.00
_symmetry_space_group_name_H-M 'F m -3 m'
_symmetry_Int_Tables_number 225
_symmetry_space_group_name_Hall '-F 4 2 3'
loop_
_atom_site_label
_atom_site_type_symbol
_atom_site_fract_x
_atom_site_fract_y
_atom_site_fract_z
Be1 Be 0.250 0.250 0.250
Pd1 Pd 0.000 0.000 0.000
F1 F 0.000 0.000 0.500